Entry 1:
DFT (PBE) results for Th8As4SeS3 after structural relaxation.

extended XYZ file:
```
16
Lattice="-1.085 4.948 6.672 -7.851 1.399 -2.315 2.771 -7.839 1.005" Properties=species:S:1:pos:R:3 pbc="T T T"
Th -3.367 -5.498 0.953
Th -4.724 -1.657 0.461
Th -0.914 -2.355 1.598
Th -3.899 -3.074 4.222
Th -2.267 1.582 1.140
Th -5.252 0.863 3.765
Th -1.442 0.165 4.902
Th -2.799 4.006 4.410
As -0.543 2.474 3.336
As 0.843 -1.446 3.838
As 0.000 0.000 0.000
As 1.385 -3.919 0.502
Se -3.926 0.699 -1.157
S -4.468 3.173 2.179
S -3.083 -0.746 2.681
S -2.540 -3.220 -0.655
```

Output
- uncorrected formation energy (eV/atom) = -1.59
- uncorrected energy (eV/atom) = -7.452
- V (Å³ per atom) = 25.6
- crystal system = trigonal
- space-group type = R-3m, No. 166

=====

Entry 2:
DFT (PBE) results for Th6AsSe2S3 after structural relaxation.

extended XYZ file:
```
12
Lattice="7.150 -0.003 -0.001 -3.576 6.192 -0.001 -1.193 -2.066 6.771" Properties=species:S:1:pos:R:3 pbc="T T T"
Th 3.566 2.076 4.968
Th 2.391 4.139 1.797
Th -1.184 2.047 1.802
Th 0.016 4.126 4.968
Th -0.009 -0.016 4.973
Th 2.365 -0.003 1.802
As 0.000 0.000 0.000
Se -0.003 4.128 -0.001
Se 3.577 2.061 -0.001
S -2.390 4.129 3.385
S 4.771 -0.006 3.385
S 1.191 2.062 3.385
```

Output
- uncorrected formation energy (eV/atom) = -1.68
- uncorrected energy (eV/atom) = -7.385
- V (Å³ per atom) = 25.0
- crystal system = monoclinic
- space-group type = C2/m, No. 12

=====

Entry 3:
DFT (PBE) results for Th8As4Se3S after structural relaxation.

extended XYZ file:
```
16
Lattice="8.462 0.000 0.000 0.000 8.379 -0.056 -4.231 -4.222 5.982" Properties=species:S:1:pos:R:3 pbc="T T T"
Th 2.072 6.267 -0.023
Th 0.000 4.200 2.908
Th 0.000 -0.043 2.958
Th 6.389 6.267 -0.023
Th -2.159 -2.110 5.950
Th 4.231 4.200 2.968
Th 4.231 -0.042 3.019
Th 2.159 -2.110 5.950
As 4.231 0.000 0.000
As 2.115 -2.111 2.991
As 0.000 0.000 0.000
As -2.115 -2.111 2.991
Se 4.231 4.190 -0.028
Se 2.115 2.079 2.963
Se -2.115 2.079 2.963
S 0.000 4.190 -0.028
```

Output
- uncorrected formation energy (eV/atom) = -1.53
- uncorrected energy (eV/atom) = -7.309
- V (Å³ per atom) = 26.4
- crystal system = trigonal
- space-group type = R-3m, No. 166

=====

Entry 4:
DFT (PBE) results for TiAsSe2S after structural relaxation.

extended XYZ file:
```
5
Lattice="4.716 0.000 0.000 0.000 4.716 0.000 0.000 0.000 4.817" Properties=species:S:1:pos:R:3 pbc="T T T"
As 0.000 0.000 2.409
S 0.000 0.000 0.000
Se 0.000 2.358 0.000
Se 2.358 0.000 0.000
Ti 2.358 2.358 2.409
```

Output
- uncorrected formation energy (eV/atom) = 0.52
- uncorrected energy (eV/atom) = -4.204
- V (Å³ per atom) = 21.4
- crystal system = tetragonal
- space-group type = P4/mmm, No. 123
- excess energy over the best structure of this formula in the dataset (meV per atom) = 321

=====

Entry 5:
DFT (PBE) results for TiAsSe2S after structural relaxation.

extended XYZ file:
```
5
Lattice="-1.129 -3.509 3.045 0.367 -3.191 -3.541 4.967 -0.646 1.097" Properties=species:S:1:pos:R:3 pbc="T T T"
As 2.484 -0.323 0.549
S 2.102 -3.673 0.300
Se 0.183 -1.596 -1.771
Se -0.565 -1.754 1.523
Ti 0.000 0.000 0.000
```

Output
- uncorrected formation energy (eV/atom) = 0.20
- uncorrected energy (eV/atom) = -4.524
- V (Å³ per atom) = 23.4
- crystal system = tetragonal
- space-group type = P4/mmm, No. 123
- excess energy over the best structure of this formula in the dataset (meV per atom) = 0

=====

Entry 6:
DFT (PBE) results for TiAs2SeS after structural relaxation.

extended XYZ file:
```
5
Lattice="-1.338 -3.632 -3.091 4.500 0.101 -2.067 1.502 -3.203 3.113" Properties=species:S:1:pos:R:3 pbc="T T T"
As 2.250 0.050 -1.034
As -0.669 -1.816 -1.545
S 2.332 -3.367 -1.022
Se 0.751 -1.602 1.557
Ti 0.000 0.000 0.000
```

Output
- uncorrected formation energy (eV/atom) = 0.30
- uncorrected energy (eV/atom) = -4.657
- V (Å³ per atom) = 23.1
- crystal system = tetragonal
- space-group type = P4/mmm, No. 123
- excess energy over the best structure of this formula in the dataset (meV per atom) = 0

=====

Entry 7:
DFT (PBE) results for TiAs2SeS after structural relaxation.

extended XYZ file:
```
5
Lattice="-1.905 -1.793 -3.961 2.046 -4.186 0.911 -3.797 -1.327 2.428" Properties=species:S:1:pos:R:3 pbc="T T T"
As 1.023 -2.093 0.455
As -0.953 -0.897 -1.980
S 0.000 0.000 0.000
Se -1.899 -0.664 1.214
Ti -1.828 -3.653 -0.311
```

Output
- uncorrected formation energy (eV/atom) = 0.59
- uncorrected energy (eV/atom) = -4.367
- V (Å³ per atom) = 21.2
- crystal system = tetragonal
- space-group type = P4/mmm, No. 123
- excess energy over the best structure of this formula in the dataset (meV per atom) = 290

=====

Entry 8:
DFT (PBE) results for TlAs2SeS after structural relaxation.

extended XYZ file:
```
5
Lattice="-5.260 -1.234 0.006 0.629 -2.705 -4.635 1.033 -4.392 2.704" Properties=species:S:1:pos:R:3 pbc="T T T"
S -1.799 -4.166 -0.962
Tl 0.000 0.000 0.000
As 0.315 -1.353 -2.317
As -2.630 -0.617 0.003
Se 0.517 -2.196 1.352
```

Output
- uncorrected formation energy (eV/atom) = 1.33
- uncorrected energy (eV/atom) = -2.529
- V (Å³ per atom) = 30.7
- crystal system = tetragonal
- space-group type = P4/mmm, No. 123
- excess energy over the best structure of this formula in the dataset (meV per atom) = 836

=====

Entry 9:
DFT (PBE) results for TlAsSe2S after structural relaxation.

extended XYZ file:
```
5
Lattice="5.010 0.000 0.000 0.000 5.010 0.000 0.000 0.000 4.954" Properties=species:S:1:pos:R:3 pbc="T T T"
S 0.000 0.000 0.000
Tl 2.505 2.505 2.477
As 0.000 0.000 2.477
Se 0.000 2.505 0.000
Se 2.505 0.000 0.000
```

Output
- uncorrected formation energy (eV/atom) = 0.37
- uncorrected energy (eV/atom) = -3.252
- V (Å³ per atom) = 24.9
- crystal system = tetragonal
- space-group type = P4/mmm, No. 123
- excess energy over the best structure of this formula in the dataset (meV per atom) = 0

=====

Entry 10:
DFT (PBE) results for TlAs2SeS after structural relaxation.

extended XYZ file:
```
5
Lattice="4.950 0.000 0.000 0.000 4.950 0.000 0.000 0.000 5.009" Properties=species:S:1:pos:R:3 pbc="T T T"
S 0.000 0.000 0.000
Tl 2.475 2.475 2.504
As 0.000 2.475 0.000
As 2.475 0.000 0.000
Se 0.000 0.000 2.504
```

Output
- uncorrected formation energy (eV/atom) = 0.49
- uncorrected energy (eV/atom) = -3.365
- V (Å³ per atom) = 24.5
- crystal system = tetragonal
- space-group type = P4/mmm, No. 123
- excess energy over the best structure of this formula in the dataset (meV per atom) = 0